[1]
VASP calculation (PBE-GGA) on crystalline LiTlInRh at its relaxed geometry.

```
LiTlInRh
1.0
4.6845 0.0000 0.0000
2.3423 4.0569 0.0000
2.3423 1.3523 3.8249
Tl Li Rh In
1 1 1 1
Cartesian
2.3423 1.3523 0.9562
0.0000 0.0000 0.0000
4.6845 2.7046 1.9124
7.0268 4.0569 2.8687
```

Output
Size of the total moment = 0.00 μB per atom
Crystal system = cubic
Energy of formation = -246 meV/atom
D(E_F) = 0.52 states/eV/atom

***

[2]
VASP calculation (PBE-GGA) on crystalline Co2RuN3 at its relaxed geometry.

```
Co2RuN3
1.0
5.2286 2.4843 -0.0013
-5.2286 2.4843 -0.0013
0.0000 0.4278 9.2198
Co Ru N
8 4 12
Cartesian
2.0683 4.0870 8.0479
2.0683 1.5235 5.7792
-2.0683 1.3096 1.1693
-2.0683 3.8730 3.4380
-1.9063 1.3844 5.5894
-1.9063 4.2260 8.2378
1.9063 4.0121 3.6278
1.9063 1.1705 0.9794
-0.1375 3.8892 6.1853
-0.1375 1.7212 7.6418
0.1375 1.5073 3.0319
0.1375 3.6753 1.5754
-1.8649 2.8052 6.9136
1.8649 2.5913 2.3036
1.4456 3.2364 5.2680
1.4456 2.3740 8.5591
-1.4456 2.1601 3.9492
-1.4456 3.0225 0.6581
-3.7332 1.9290 0.4425
-3.7332 3.2536 4.1648
3.7332 3.4675 8.7747
3.7332 2.1429 5.0524
-4.3061 2.8052 6.9136
4.3061 2.5913 2.3036
```

Output
Size of the total moment = 0.00 μB per atom
Formation energy from raw total energies = 0.4194 eV per atom
Crystal system = monoclinic
D(E_F) = 0.63 states/eV/atom

***

Among the records above, which one has the highest D(E_F)? Co2RuN3

***

size of the total moment of number 2 (Co2RuN3)? 0.00 μB per atom

***

Look up the D(E_F) of the first one. 0.52 states/eV/atom

***

size of the total moment of number 2 (Co2RuN3)? 0.00 μB per atom